1.
# PBE-GGA SmPuBr6, relaxed
# V: 646 Å³ per cell
# Total DFT energy (no corrections): -84.740 eV per cell
# DOS(E_F): 9.63 states/eV/f.u.
data_SmPuBr6
_chemical_formula_sum 'Sm2 Pu2 Br12'
_cell_length_a 7.173
_cell_length_b 13.139
_cell_length_c 7.153
_cell_angle_alpha 90.00
_cell_angle_beta 106.61
_cell_angle_gamma 90.00
_symmetry_space_group_name_H-M 'C 1 2/m 1'
_symmetry_Int_Tables_number 12
loop_
_symmetry_equiv_pos_as_xyz
'x,y,z'
'-x,-y,-z'
'-x,y,-z'
'x,-y,z'
'x+1/2,y+1/2,z'
'-x+1/2,-y+1/2,-z'
'-x+1/2,y+1/2,-z'
'x+1/2,-y+1/2,z'
loop_
_atom_site_label
_atom_site_fract_x
_atom_site_fract_y
_atom_site_fract_z
Sm1 0.000 0.000 0.000
Pu1 0.000 0.500 0.500
Br1 0.248 0.147 0.250
Br2 0.249 0.500 0.248



2.
# PBE-GGA PuSnBr5, relaxed
# V: 500 Å³ per cell
# Total DFT energy (no corrections): -69.675 eV per cell
# DOS(E_F): 14.02 states/eV/f.u.
data_PuSnBr5
_chemical_formula_sum 'Pu2 Sn2 Br10'
_cell_length_a 8.277
_cell_length_b 4.357
_cell_length_c 13.876
_cell_angle_alpha 90.00
_cell_angle_beta 93.37
_cell_angle_gamma 90.00
_symmetry_space_group_name_H-M 'P 1 21/m 1'
_symmetry_Int_Tables_number 11
loop_
_symmetry_equiv_pos_as_xyz
'x,y,z'
'-x,-y,-z'
'-x,y+1/2,-z'
'x,-y+1/2,z'
loop_
_atom_site_label
_atom_site_fract_x
_atom_site_fract_y
_atom_site_fract_z
Pu1 0.082 0.250 0.146
Sn1 0.407 0.750 0.365
Br1 0.114 0.250 0.791
Br2 0.146 0.250 0.363
Br3 0.184 0.750 0.015
Br4 0.352 0.750 0.569
Br5 0.425 0.250 0.180



3.
# PBE-GGA Pu2SnBr, relaxed
# V: 103 Å³ per cell
# Total DFT energy (no corrections): -36.701 eV per cell
# DOS(E_F): 13.79 states/eV/f.u.
data_Pu2SnBr
_chemical_formula_sum 'Pu2 Sn1 Br1'
_cell_length_a 3.477
_cell_length_b 3.477
_cell_length_c 8.559
_cell_angle_alpha 90.00
_cell_angle_beta 90.00
_cell_angle_gamma 90.00
_symmetry_space_group_name_H-M 'P 4/m m m'
_symmetry_Int_Tables_number 123
_symmetry_space_group_name_Hall '-P 4 2'
loop_
_atom_site_label
_atom_site_fract_x
_atom_site_fract_y
_atom_site_fract_z
Pu1 0.000 0.000 0.250
Sn1 0.500 0.500 0.000
Br1 0.500 0.500 0.500



4.
# PBE-GGA PuSnBr, relaxed
# V: 341 Å³ per cell
# Total DFT energy (no corrections): -87.105 eV per cell
# DOS(E_F): 9.65 states/eV/f.u.
data_PuSnBr
_chemical_formula_sum 'Pu4 Sn4 Br4'
_cell_length_a 6.326
_cell_length_b 11.324
_cell_length_c 5.711
_cell_angle_alpha 90.00
_cell_angle_beta 123.47
_cell_angle_gamma 90.00
_symmetry_space_group_name_H-M 'C 1 2/m 1'
_symmetry_Int_Tables_number 12
loop_
_symmetry_equiv_pos_as_xyz
'x,y,z'
'-x,-y,-z'
'-x,y,-z'
'x,-y,z'
'x+1/2,y+1/2,z'
'-x+1/2,-y+1/2,-z'
'-x+1/2,y+1/2,-z'
'x+1/2,-y+1/2,z'
loop_
_atom_site_label
_atom_site_fract_x
_atom_site_fract_y
_atom_site_fract_z
Pu1 0.000 0.248 0.000
Sn1 0.163 0.500 0.834
Br1 0.000 0.163 0.500



5.
# PBE-GGA PuSnBr2, relaxed
# V: 374 Å³ per cell
# Total DFT energy (no corrections): -69.580 eV per cell
# DOS(E_F): 9.52 states/eV/f.u.
data_PuSnBr2
_chemical_formula_sum 'Pu3 Sn3 Br6'
_cell_length_a 3.6612
_cell_length_b 3.6612
_cell_length_c 32.2559
_cell_angle_alpha 90.00
_cell_angle_beta 90.00
_cell_angle_gamma 120.00
_symmetry_space_group_name_H-M 'R -3 m'
_symmetry_Int_Tables_number 166
_symmetry_space_group_name_Hall '-R 3 2"'
loop_
_atom_site_label
_atom_site_fract_x
_atom_site_fract_y
_atom_site_fract_z
Pu1 0.0000 0.0000 0.0000
Sn1 0.0000 0.0000 0.5000
Br1 0.0000 0.0000 0.0866



6.
# PBE-GGA PuSnBr6, relaxed
# V: 290 Å³ per cell
# Total DFT energy (no corrections): -36.955 eV per cell
# DOS(E_F): 9.01 states/eV/f.u.
data_PuSnBr6
_chemical_formula_sum 'Pu1 Sn1 Br6'
_cell_length_a 7.147
_cell_length_b 7.152
_cell_length_c 7.731
_cell_angle_alpha 62.51
_cell_angle_beta 62.47
_cell_angle_gamma 60.04
_symmetry_space_group_name_H-M 'P -1'
_symmetry_Int_Tables_number 2
loop_
_symmetry_equiv_pos_as_xyz
'x,y,z'
'-x,-y,-z'
loop_
_atom_site_label
_atom_site_fract_x
_atom_site_fract_y
_atom_site_fract_z
Pu1 0.000 0.000 0.000
Sn1 0.500 0.500 0.500
Br1 0.077 0.765 0.756
Br2 0.236 0.598 0.244
Br3 0.402 0.078 0.756



7.
# PBE-GGA PuSnBr6, relaxed
# V: 630 Å³ per cell
# Total DFT energy (no corrections): -74.079 eV per cell
# DOS(E_F): 9.14 states/eV/f.u.
data_PuSnBr6
_chemical_formula_sum 'Pu2 Sn2 Br12'
_cell_length_a 7.167
_cell_length_b 12.799
_cell_length_c 7.153
_cell_angle_alpha 90.00
_cell_angle_beta 106.27
_cell_angle_gamma 90.00
_symmetry_space_group_name_H-M 'C 1 2/m 1'
_symmetry_Int_Tables_number 12
loop_
_symmetry_equiv_pos_as_xyz
'x,y,z'
'-x,-y,-z'
'-x,y,-z'
'x,-y,z'
'x+1/2,y+1/2,z'
'-x+1/2,-y+1/2,-z'
'-x+1/2,y+1/2,-z'
'x+1/2,-y+1/2,z'
loop_
_atom_site_label
_atom_site_fract_x
_atom_site_fract_y
_atom_site_fract_z
Pu1 0.000 0.000 0.000
Sn1 0.000 0.500 0.500
Br1 0.234 0.149 0.240
Br2 0.246 0.000 0.764



8.
# PBE-GGA Pu2SnBr, relaxed
# V: 344 Å³ per cell
# Total DFT energy (no corrections): -108.782 eV per cell
# DOS(E_F): 24.10 states/eV/f.u.
data_Pu2SnBr
_chemical_formula_sum 'Pu6 Sn3 Br3'
_cell_length_a 4.5757
_cell_length_b 4.5757
_cell_length_c 18.9907
_cell_angle_alpha 90.00
_cell_angle_beta 90.00
_cell_angle_gamma 120.00
_symmetry_space_group_name_H-M 'R -3 m'
_symmetry_Int_Tables_number 166
_symmetry_space_group_name_Hall '-R 3 2"'
loop_
_atom_site_label
_atom_site_fract_x
_atom_site_fract_y
_atom_site_fract_z
Pu1 0.0000 0.0000 0.2447
Sn1 0.0000 0.0000 0.0000
Br1 0.0000 0.0000 0.5000



Question: V of number 8 (Pu2SnBr)?
Answer: 344 Å³ per cell